1.
Entry from Alexandria: an optimized crystal structure of CuGe2BiS6 (PBE).

Results
Formation energy (no corrections) = -0.2432 eV per atom
Magnetic moment = 0.00 Bohr magnetons per cell

a = 8.697 Å, b = 8.697 Å, c = 6.663 Å
α = 104.20°, β = 104.20°, γ = 86.26°
Sites, in units of the cell vectors:
Cu (0.237, 0.763, 0.750)
Cu (0.763, 0.237, 0.250)
Ge (0.231, 0.381, 0.275)
Ge (0.381, 0.231, 0.775)
Ge (0.619, 0.769, 0.225)
Ge (0.769, 0.619, 0.725)
Bi (0.127, 0.873, 0.250)
Bi (0.873, 0.127, 0.750)
S (0.040, 0.193, 0.180)
S (0.128, 0.611, 0.426)
S (0.193, 0.040, 0.680)
S (0.297, 0.444, 0.996)
S (0.389, 0.872, 0.074)
S (0.444, 0.297, 0.496)
S (0.556, 0.703, 0.504)
S (0.611, 0.128, 0.926)
S (0.703, 0.556, 0.004)
S (0.807, 0.960, 0.320)
S (0.872, 0.389, 0.574)
S (0.960, 0.807, 0.820)

---

2.
Entry from Alexandria: an optimized crystal structure of Li4PrDy (PBE).

Results
Formation energy = 0.11 eV per atom
Magnetic moment = 0.00 Bohr magnetons per cell

a = 5.914 Å, b = 5.914 Å, c = 5.914 Å
α = 60.00°, β = 60.00°, γ = 60.00°
Sites, in units of the cell vectors:
Li (0.125, 0.125, 0.125)
Li (0.125, 0.125, 0.626)
Li (0.125, 0.626, 0.125)
Li (0.626, 0.125, 0.125)
Pr (0.500, 0.500, 0.500)
Dy (0.750, 0.750, 0.750)